(1)
Material: Tm2Sc3Ni2
Method: DFT, PBE-GGA
State: optimized geometry

a b c (Å): 5.982 5.982 8.515
angles (deg): 113.90 113.90 33.15
Atoms (fractional coordinates):
Tm 0.161 0.161 0.305
Tm 0.839 0.839 0.695
Sc 0.383 0.383 0.068
Sc 0.500 0.500 0.500
Sc 0.617 0.617 0.932
Ni 0.167 0.167 0.735
Ni 0.833 0.833 0.265

Computed properties:
E above lowest polymorph in meV per atom: 0
Uncorrected energy in eV for the cell shown: -41.51
Energy relative to the elements in eV/atom: -0.286
Size of the total moment in μB per atom: 0.000

***

(2)
Material: TmSc2Ni3
Method: DFT, PBE-GGA
State: optimized geometry

a b c (Å): 3.217 3.217 9.693
angles (deg): 90.00 90.00 90.00
Atoms (fractional coordinates):
Tm 0.000 0.000 0.000
Sc 0.000 0.000 0.338
Sc 0.000 0.000 0.662
Ni 0.500 0.500 0.183
Ni 0.500 0.500 0.500
Ni 0.500 0.500 0.817

Computed properties:
Uncorrected energy in eV for the cell shown: -37.36
Energy relative to the elements in eV/atom: -0.481
Size of the total moment in μB per atom: 0.000

***

(3)
Material: Tm3Sc4Ni4
Method: DFT, PBE-GGA
State: optimized geometry

a b c (Å): 8.769 8.769 8.769
angles (deg): 156.62 123.13 62.32
Atoms (fractional coordinates):
Tm 0.000 0.000 0.000
Tm 0.394 0.894 0.500
Tm 0.606 0.106 0.500
Sc 0.016 0.333 0.684
Sc 0.351 0.667 0.684
Sc 0.649 0.333 0.316
Sc 0.984 0.667 0.316
Ni 0.245 0.245 0.000
Ni 0.298 0.500 0.798
Ni 0.702 0.500 0.202
Ni 0.755 0.755 0.000

Computed properties:
Uncorrected energy in eV for the cell shown: -65.22
Energy relative to the elements in eV/atom: -0.305
Size of the total moment in μB per atom: 0.000